Entry 1:
Compound: Na4MgSiAu2
Source: OQMD via LeMat-Bulk
Functional: PBE-GGA
Structure: relaxed

Summary:
Energy   -19.636 eV per formula unit

abc: 4.805 4.805 6.834
angles: 90.00 90.00 90.00
Atoms (fractional coordinates):
Na 0.000 0.000 0.000
Na 0.000 0.500 0.738
Na 0.500 0.000 0.262
Na 0.500 0.500 0.500
Mg 0.500 0.500 0.000
Si 0.000 0.000 0.500
Au 0.000 0.500 0.262
Au 0.500 0.000 0.738

Entry 2:
Compound: Tb3MgCd2Ga3
Source: OQMD via LeMat-Bulk
Functional: PBE-GGA
Structure: relaxed

Summary:
Size of the total moment   0.01 μB/f.u.
Energy   -31.093 eV per formula unit

abc: 4.429 7.278 7.278
angles: 120.09 90.00 90.00
Atoms (fractional coordinates):
Tb 0.000 0.000 0.000
Tb 0.000 0.151 0.578
Tb 0.000 0.578 0.151
Mg 0.500 0.337 0.337
Cd 0.500 0.575 0.824
Cd 0.500 0.824 0.575
Ga 0.000 0.572 0.572
Ga 0.500 0.242 0.914
Ga 0.500 0.914 0.242

Entry 3:
Compound: LuAsPbO
Source: OQMD via LeMat-Bulk
Functional: PBE-GGA
Structure: relaxed

Summary:
Size of the total moment   0.00 μB/f.u.
Relative energy among the computed polymorphs   0 meV per atom

abc: 3.900 8.857 5.860
angles: 90.00 90.00 90.00
Atoms (fractional coordinates):
Lu 0.000 0.156 0.000
Lu 0.000 0.844 0.500
As 0.000 0.161 0.490
As 0.000 0.839 0.990
Pb 0.500 0.367 0.606
Pb 0.500 0.633 0.106
O 0.500 0.246 0.972
O 0.500 0.754 0.472

Going through the records in order, we get ρ values of 5.66; 7.65; 7.76 Mg/m³.